First-principles (PBE) data for an optimized crystal structure of Ni2TeMo, as listed in Alexandria.

Unit cell a=4.9021 b=4.9021 c=4.9021 alpha=134.56 beta=134.56 gamma=66.22
Element x y z (fractional)
1 Mo 0.7500 0.2500 0.5000
2 Ni 0.0000 0.0000 0.0000
3 Ni 0.2500 0.7500 0.5000
4 Te 0.5000 0.5000 0.0000

Properties
**Theoretical density**: 9.61 Mg/m³
**Size of the total moment**: 0.3091 μB per atom
**Energy relative to the elements, uncorrected**: 0.256 eV/atom

---

First-principles (PBE) data for an optimized crystal structure of BaTl2Ag2, as listed in Alexandria.

Unit cell a=8.5812 b=8.5812 c=3.8881 alpha=90.00 beta=90.00 gamma=90.00
Element x y z (fractional)
1 Tl 0.1705 0.6705 0.5000
2 Tl 0.6705 0.8295 0.5000
3 Tl 0.8295 0.3295 0.5000
4 Tl 0.3295 0.1705 0.5000
5 Ba 0.0000 0.0000 0.0000
6 Ba 0.5000 0.5000 0.0000
7 Ag 0.3815 0.8815 0.0000
8 Ag 0.8815 0.6185 0.0000
9 Ag 0.6185 0.1185 0.0000
10 Ag 0.1185 0.3815 0.0000

Properties
**Theoretical density**: 8.84 Mg/m³
**Size of the total moment**: 0.0000 μB per atom

---

First-principles (PBE) data for an optimized crystal structure of Ta2AgAu, as listed in Alexandria.

Unit cell a=4.6802 b=4.6802 c=4.6802 alpha=60.00 beta=60.00 gamma=60.00
Element x y z (fractional)
1 Au 0.2500 0.2500 0.2500
2 Ag 0.5000 0.5000 0.5000
3 Ta 0.0000 0.0000 0.0000
4 Ta 0.7500 0.7500 0.7500

Properties
**Theoretical density**: 15.27 Mg/m³
**Size of the total moment**: 0.2012 μB per atom

---

| no. | total energy (eV for the cell shown) |
| --- | --- |
| 1 | -24.51 |
| 2 | -25.15 |
| 3 | -28.08 |